# BaAcPd | Alexandria via LeMat-Bulk | GGA-PBE | relaxed
# polymorph energy (0 for the lowest one): 19.81 kJ/mol of atoms
# ΔE_f: -0.31 eV per atom
data_BaAcPd
_cell_length_a 7.643
_cell_length_b 7.643
_cell_length_c 7.643
_cell_angle_alpha 90.00
_cell_angle_beta 90.00
_cell_angle_gamma 90.00
_symmetry_space_group_name_H-M 'F -4 3 m'
_symmetry_Int_Tables_number 216
_symmetry_space_group_name_Hall 'F -4 2 3'
loop_
_atom_site_label
_atom_site_type_symbol
_atom_site_fract_x
_atom_site_fract_y
_atom_site_fract_z
Ba1 Ba 0.000 0.000 0.000
Ac1 Ac 0.000 0.000 0.500
Pd1 Pd 0.250 0.250 0.250

=====

# BeNbAg | Alexandria via LeMat-Bulk | GGA-PBE | relaxed
# polymorph energy (0 for the lowest one): 32.74 kJ/mol of atoms
# ΔE_f: 0.32 eV per atom
data_BeNbAg
_cell_length_a 8.231
_cell_length_b 4.993
_cell_length_c 4.737
_cell_angle_alpha 90.00
_cell_angle_beta 109.68
_cell_angle_gamma 90.00
_symmetry_space_group_name_H-M 'C 1 2 1'
_symmetry_Int_Tables_number 5
loop_
_symmetry_equiv_pos_as_xyz
'x,y,z'
'-x,y,-z'
'x+1/2,y+1/2,z'
'-x+1/2,y+1/2,-z'
loop_
_atom_site_label
_atom_site_type_symbol
_atom_site_fract_x
_atom_site_fract_y
_atom_site_fract_z
Be1 Be 0.152 0.000 0.041
Nb1 Nb 0.000 0.502 0.000
Nb2 Nb 0.000 0.714 0.500
Ag1 Ag 0.175 0.204 0.569

=====

# KSiI6 | Alexandria via LeMat-Bulk | GGA-PBE | relaxed
# formation energy without anion corrections: -364 meV/atom
data_KSiI6
_cell_length_a 12.819
_cell_length_b 8.777
_cell_length_c 8.824
_cell_angle_alpha 90.00
_cell_angle_beta 128.28
_cell_angle_gamma 90.00
_symmetry_space_group_name_H-M 'C 1 2/m 1'
_symmetry_Int_Tables_number 12
loop_
_symmetry_equiv_pos_as_xyz
'x,y,z'
'-x,-y,-z'
'-x,y,-z'
'x,-y,z'
'x+1/2,y+1/2,z'
'-x+1/2,-y+1/2,-z'
'-x+1/2,y+1/2,-z'
'x+1/2,-y+1/2,z'
loop_
_atom_site_label
_atom_site_type_symbol
_atom_site_fract_x
_atom_site_fract_y
_atom_site_fract_z
K1 K 0.000 0.000 0.000
Si1 Si 0.000 0.000 0.500
I1 I 0.106 0.223 0.768
I2 I 0.216 0.000 0.518

=====

Short version: M_tot = 0.00; 0.00; 0.00 μB/atom, in the order given.
Short version: final energy = -4.053; -5.226; -2.342 eV/atom, in the order given.